(1)
Ti3SnRh4, relaxed, DFT PBE; symmetry = Pmma; volume = 248.29 Å³/cell; final energy = -7.853 eV/atom; energy of formation from the pure elements = -0.716 eV per atom
1.0
4.649 0.000 0.000
0.000 5.901 0.000
0.000 0.000 9.051
Rh Ti Sn
8 6 2
Cartesian
2.324 4.484 4.526 Rh
0.382 4.465 6.788 Rh
0.382 1.436 6.788 Rh
4.266 1.436 2.263 Rh
4.266 4.465 2.263 Rh
2.324 4.484 0.000 Rh
2.324 1.417 4.526 Rh
2.324 1.417 0.000 Rh
2.609 2.951 6.788 Ti
0.000 0.000 4.526 Ti
0.000 0.000 0.000 Ti
2.581 0.000 6.788 Ti
2.067 0.000 2.263 Ti
2.039 2.951 2.263 Ti
0.000 2.951 4.526 Sn
0.000 2.951 0.000 Sn

---

(2)
TiTc3Rh, relaxed, DFT PBE; symmetry = Pm-3m; volume = 98.66 Å³/cell; final energy = -7.652 eV/atom; energy of formation from the pure elements = 1.616 eV per atom
1.0
-2.898 1.799 -3.118
-3.590 -1.155 2.670
0.260 4.097 2.122
Ti Rh Tc
1 1 3
Cartesian
-3.114 2.370 0.837 Ti
0.000 0.000 0.000 Rh
0.130 2.048 1.061 Tc
-1.449 0.899 -1.559 Tc
-1.795 -0.578 1.335 Tc

---

(3)
Tb6ErTm6, relaxed, DFT PBE; symmetry = P6/mmm; volume = 424.62 Å³/cell; final energy = -4.269 eV/atom; energy of formation from the pure elements = 0.283 eV per atom
1.0
6.611 0.000 0.000
-3.305 5.726 0.000
0.000 0.000 11.217
Tb Tm Er
6 6 1
Cartesian
3.306 1.909 0.000 Tb
3.306 1.909 5.608 Tb
0.000 3.817 5.608 Tb
0.000 3.817 0.000 Tb
0.000 0.000 7.372 Tb
0.000 0.000 3.845 Tb
-1.652 2.863 8.488 Tm
3.306 0.000 2.729 Tm
-1.652 2.863 2.729 Tm
1.653 2.863 8.488 Tm
1.653 2.863 2.729 Tm
3.306 0.000 8.488 Tm
0.000 0.000 0.000 Er